A relaxed structure of KHgP2S, computed with PBEsol.

a b c (Å): 6.385 6.385 5.852
angles (deg): 90.00 90.00 90.00
Space group P4/mmm (No. 123)
Asymmetric unit:
K: 0.000 0.000 0.000 x1
Hg: 0.500 0.500 0.500 x1
P: 0.000 0.500 0.000 x2
S: 0.000 0.000 0.500 x1

## Properties
ΔE to the lowest computed polymorph = 5.26 eV per formula unit
Raw formation energy = 1673.5 meV/atom